A relaxed SrNpBO6 crystal, computed with PBE.

a b c (Å): 5.949 5.292 5.605
angles (deg): 97.92 85.33 61.59
Fractional coordinates of all 9 atoms:
O  0.955  0.720  0.643
O  0.234  0.096  0.705
O  0.460  0.469  0.320
O  0.038  0.374  0.291
O  0.503  0.383  0.785
O  0.712  0.882  0.313
B  0.886  0.668  0.418
Sr  0.869  0.113  0.999
Np  0.344  0.295  0.525

ΔE_f (raw)   -2.613 eV/atom
SG   P1 (1)
E_tot   -8.2848 eV/atom
Total magnetic moment   0.000 μB/atom